# HfPaHg PBE optimized geometry
# - calculated density (Mg/m³) = 14.63
# - distance to the lowest polymorph of the same formula (meV per atom) = 48
data_HfPaHg
_chemical_formula_sum 'Hf2 Pa2 Hg2'
_symmetry_space_group_name_H-M 'P 4/n m m'
_symmetry_Int_Tables_number 129
_cell_length_a 3.144
_cell_length_b 3.144
_cell_length_c 14.009
_cell_angle_alpha 90.00
_cell_angle_beta 90.00
_cell_angle_gamma 90.00
loop_
_symmetry_equiv_pos_as_xyz
'x,y,z'
'-x,-y,-z'
'-y+1/2,x,z'
'y+1/2,-x,-z'
'-x+1/2,-y+1/2,z'
'x+1/2,y+1/2,-z'
'y,-x+1/2,z'
'-y,x+1/2,-z'
'x+1/2,-y,-z'
'-x+1/2,y,z'
'-y,-x,-z'
'y,x,z'
'-x,y+1/2,-z'
'x,-y+1/2,z'
'y+1/2,x+1/2,-z'
'-y+1/2,-x+1/2,z'
loop_
_atom_site_label
_atom_site_fract_x
_atom_site_fract_y
_atom_site_fract_z
Hf1 0.250 0.250 0.239
Pa1 0.250 0.250 0.591
Hg1 0.250 0.250 0.916